Record 1
Entry from OQMD: a relaxed structure of Pr2MgSb2 (PBE-GGA). Values from VASP.

Summary:
E_tot ... -0.3440 Ry per atom

Geometry as Quantum ESPRESSO input:
```
&SYSTEM
  ibrav = 0, nat = 10, ntyp = 3
/
ATOMIC_SPECIES
Pr 140.91 Pr.upf
Mg 24.30 Mg.upf
Sb 121.76 Sb.upf
ATOMIC_POSITIONS angstrom
Pr 2.326 9.330 3.369
Pr 2.326 5.721 1.346
Pr 2.326 -5.721 4.716
Pr 2.326 -9.330 0.000
Mg 2.326 1.966 2.022
Mg 2.326 -1.966 5.391
Sb 2.326 6.139 4.700
Sb 2.326 1.620 4.927
Sb 2.326 -1.620 1.558
Sb 2.326 -6.139 1.331
CELL_PARAMETERS angstrom
2.326 -9.526 0.000
2.326 9.526 0.000
0.000 0.000 6.738
```

Record 2
Entry from OQMD: a relaxed structure of PrMgSb (PBE-GGA). Values from VASP.

Summary:
Excess energy over the best structure of this formula in the dataset ... 0.0 meV per atom

Geometry as Quantum ESPRESSO input:
```
&SYSTEM
  ibrav = 0, nat = 3, ntyp = 3
/
ATOMIC_SPECIES
Pr 140.91 Pr.upf
Mg 24.30 Mg.upf
Sb 121.76 Sb.upf
ATOMIC_POSITIONS angstrom
Pr 0.000 0.000 0.000
Mg 3.599 3.599 3.599
Sb 1.800 1.800 1.800
CELL_PARAMETERS angstrom
0.000 3.599 3.599
3.599 0.000 3.599
3.599 3.599 0.000
```